Computed, not measured: crystalline NdTmCoRh at its relaxed geometry at the PBE level of DFT. Values from VASP.

Computed properties:
VASP energy   -6.33 eV per atom
DFT formation energy   -0.408 eV/atom
Crystal system   cubic

```
&SYSTEM
  ibrav = 0, nat = 16, ntyp = 4
/
ATOMIC_SPECIES
Nd 144.24 Nd.upf
Tm 168.93 Tm.upf
Co 58.93 Co.upf
Rh 102.91 Rh.upf
ATOMIC_POSITIONS angstrom
Nd 0.000 0.000 0.000
Nd 0.000 3.428 3.428
Nd 3.428 0.000 3.428
Nd 3.428 3.428 0.000
Tm 0.000 0.000 3.428
Tm 0.000 3.428 0.000
Tm 3.428 0.000 0.000
Tm 3.428 3.428 3.428
Co 1.714 1.714 5.143
Co 1.714 5.143 1.714
Co 5.143 1.714 1.714
Co 5.143 5.143 5.143
Rh 1.714 1.714 1.714
Rh 1.714 5.143 5.143
Rh 5.143 1.714 5.143
Rh 5.143 5.143 1.714
CELL_PARAMETERS angstrom
6.857 0.000 0.000
0.000 6.857 0.000
0.000 0.000 6.857
```



Computed, not measured: crystalline NdYCoRh at its relaxed geometry at the PBE level of DFT. Values from VASP.

Computed properties:
VASP energy   -6.79 eV per atom
DFT formation energy   -0.368 eV/atom
Crystal system   cubic

```
&SYSTEM
  ibrav = 0, nat = 16, ntyp = 4
/
ATOMIC_SPECIES
Nd 144.24 Nd.upf
Y 88.91 Y.upf
Co 58.93 Co.upf
Rh 102.91 Rh.upf
ATOMIC_POSITIONS angstrom
Nd 0.000 0.000 0.000
Nd 0.000 3.459 3.459
Nd 3.459 0.000 3.459
Nd 3.459 3.459 0.000
Y 0.000 0.000 3.459
Y 0.000 3.459 0.000
Y 3.459 0.000 0.000
Y 3.459 3.459 3.459
Co 1.730 1.730 1.730
Co 1.730 5.189 5.189
Co 5.189 1.730 5.189
Co 5.189 5.189 1.730
Rh 1.730 1.730 5.189
Rh 1.730 5.189 1.730
Rh 5.189 1.730 1.730
Rh 5.189 5.189 5.189
CELL_PARAMETERS angstrom
6.919 0.000 0.000
0.000 6.919 0.000
0.000 0.000 6.919
```



What is the DFT formation energy in the first record? -0.408 eV/atom



Look up the DFT formation energy of the second one. -0.368 eV/atom



Which formula does entry 2 have? NdYCoRh